Below is a geometry-optimized NiTeAsSe2 structure, with properties calculated at the PBE-GGA level.

Lattice parameters (Å, degrees): 4.8445 4.8445 4.5177 90.00 90.00 90.00
Fractional positions:
1 Ni 0.0000 0.0000 0.0000
2 As 0.0000 0.0000 0.5000
3 Te 0.5000 0.5000 0.5000
4 Se 0.0000 0.5000 0.0000
5 Se 0.5000 0.0000 0.0000

Output
The formation energy (no corrections) is 0.302 eV per atom. Its offset from the most stable computed form is 0 meV per atom. The space group is P4/mmm (123). As for the magnetization: 0.00 μB/atom.


Below is a geometry-optimized NiTeAsSe2 structure, with properties calculated at the PBE-GGA level.

Lattice parameters (Å, degrees): 5.3343 5.3343 5.3124 90.00 90.00 90.00
Last column: magnetic moment on the atom in μB.
Fractional positions:
1 Ni 0.5000 0.5000 0.5000  1.03
2 As 0.0000 0.0000 0.5000  0.30
3 Te 0.0000 0.0000 0.0000  -0.02
4 Se 0.0000 0.5000 0.0000  0.13
5 Se 0.5000 0.0000 0.0000  0.13

Output
The formation energy (no corrections) is 1.214 eV per atom. Its offset from the most stable computed form is 911 meV per atom. The space group is P4/mmm (123). As for the magnetization: 0.40 μB/atom.


Below is a geometry-optimized Th4NiAsSe2 structure, with properties calculated at the PBE-GGA level.

Lattice parameters (Å, degrees): 4.1194 7.3915 7.3276 108.78 90.00 90.00
Fractional positions:
1 Th 0.5000 0.2543 0.2385
2 Th 0.5000 0.7457 0.7615
3 Th 0.0000 0.2722 0.7756
4 Th 0.0000 0.7278 0.2244
5 Ni 0.5000 0.5000 0.0000
6 As 0.0000 0.0000 0.0000
7 Se 0.5000 0.0000 0.5000
8 Se 0.0000 0.5000 0.5000

Output
The formation energy (no corrections) is -1.216 eV per atom. The space group is P2/m (10). As for the magnetization: 0.00 μB/atom.


Below is a geometry-optimized TiNiAsSe2 structure, with properties calculated at the PBE-GGA level.

Lattice parameters (Å, degrees): 4.7209 4.7209 4.4624 90.00 90.00 90.00
Fractional positions:
1 Ni 0.0000 0.0000 0.0000
2 As 0.0000 0.0000 0.5000
3 Se 0.0000 0.5000 0.0000
4 Se 0.5000 0.0000 0.0000
5 Ti 0.5000 0.5000 0.5000

Output
The formation energy (no corrections) is 0.251 eV per atom. Its offset from the most stable computed form is 0 meV per atom. The space group is P4/mmm (123). As for the magnetization: 0.00 μB/atom.


Below is a geometry-optimized TiNiAsSe2 structure, with properties calculated at the PBE-GGA level.

Lattice parameters (Å, degrees): 4.8671 4.8671 4.9000 90.00 90.00 90.00
Last column: magnetic moment on the atom in μB.
Fractional positions:
1 Ni 0.5000 0.5000 0.5000  0.84
2 As 0.0000 0.0000 0.5000  0.05
3 Se 0.0000 0.5000 0.0000  0.07
4 Se 0.5000 0.0000 0.0000  0.07
5 Ti 0.0000 0.0000 0.0000  0.01

Output
The formation energy (no corrections) is 0.343 eV per atom. Its offset from the most stable computed form is 92 meV per atom. The space group is P4/mmm (123). As for the magnetization: 0.23 μB/atom.


Below is a geometry-optimized TiNiAs2Se structure, with properties calculated at the PBE-GGA level.

Lattice parameters (Å, degrees): 4.5122 4.5122 4.8145 90.00 90.00 90.00
Fractional positions:
1 Ni 0.0000 0.0000 0.0000
2 As 0.0000 0.5000 0.0000
3 As 0.5000 0.0000 0.0000
4 Se 0.0000 0.0000 0.5000
5 Ti 0.5000 0.5000 0.5000

Output
The formation energy (no corrections) is 0.315 eV per atom. Its offset from the most stable computed form is 0 meV per atom. The space group is P4/mmm (123). As for the magnetization: 0.00 μB/atom.


The highest magnetization belongs to which entry? number 2


Among the records above, which one has the highest magnetization? number 2